# 1
An optimized crystal structure of Y2Si2Pb, computed with PBE-GGA.

Computed properties:
- Fermi-level density of states: 6.02 states/eV/f.u.

abc: 4.966 4.966 10.710
angles: 90.00 90.00 90.00
Sites, in units of the cell vectors:
Y (0.000, 0.500, 0.250)
Y (0.000, 0.500, 0.750)
Y (0.500, 0.000, 0.250)
Y (0.500, 0.000, 0.750)
Si (0.000, 0.000, 0.108)
Si (0.000, 0.000, 0.892)
Si (0.500, 0.500, 0.392)
Si (0.500, 0.500, 0.608)
Pb (0.000, 0.000, 0.500)
Pb (0.500, 0.500, 0.000)

=====

# 2
An optimized crystal structure of YSiPb2, computed with PBE-GGA.

Computed properties:
- Fermi-level density of states: 2.24 states/eV/f.u.

abc: 10.721 4.013 5.648
angles: 90.00 117.45 90.00
Sites, in units of the cell vectors:
Y (0.000, 0.000, 0.000)
Y (0.500, 0.500, 0.000)
Si (0.291, 0.000, 0.968)
Si (0.791, 0.500, 0.968)
Pb (0.087, 0.500, 0.619)
Pb (0.291, 0.500, 0.334)
Pb (0.587, 0.000, 0.619)
Pb (0.791, 0.000, 0.334)

=====

# 3
An optimized crystal structure of YSi2Pb2, computed with PBE-GGA.

Computed properties:
- E above lowest polymorph: 112 meV per atom
- Fermi-level density of states: 2.58 states/eV/f.u.

abc: 4.343 4.343 13.918
angles: 90.00 90.00 90.00
Sites, in units of the cell vectors:
Y (0.000, 0.000, 0.000)
Y (0.500, 0.500, 0.500)
Si (0.000, 0.000, 0.418)
Si (0.000, 0.000, 0.582)
Si (0.500, 0.500, 0.082)
Si (0.500, 0.500, 0.918)
Pb (0.000, 0.500, 0.250)
Pb (0.000, 0.500, 0.750)
Pb (0.500, 0.000, 0.250)
Pb (0.500, 0.000, 0.750)

=====

# 4
An optimized crystal structure of Y2SiPb, computed with PBE-GGA.

Computed properties:
- E above lowest polymorph: 714 meV per atom
- Fermi-level density of states: 3.77 states/eV/f.u.

abc: 7.445 7.445 7.445
angles: 90.00 90.00 90.00
Sites, in units of the cell vectors:
Y (0.000, 0.000, 0.000)
Y (0.000, 0.500, 0.500)
Y (0.250, 0.250, 0.250)
Y (0.250, 0.750, 0.750)
Y (0.500, 0.000, 0.500)
Y (0.500, 0.500, 0.000)
Y (0.750, 0.250, 0.750)
Y (0.750, 0.750, 0.250)
Si (0.000, 0.000, 0.500)
Si (0.000, 0.500, 0.000)
Si (0.500, 0.000, 0.000)
Si (0.500, 0.500, 0.500)
Pb (0.250, 0.250, 0.750)
Pb (0.250, 0.750, 0.250)
Pb (0.750, 0.250, 0.250)
Pb (0.750, 0.750, 0.750)

=====

no.,mass density (g cm⁻³),final energy (eV per atom),formation energy (no corrections) (eV per atom)
1,5.55,-5.680,-0.184
2,8.18,-4.963,-0.137
3,7.08,-4.866,0.079
4,6.65,-5.378,0.137